Record 1
# Ce3PuOs2 GGA-PBE relaxed
# Formation energy (eV per atom): -0.02
# Distance to the lowest polymorph of the same formula (kJ/mol of formula units): 51.9
data_Ce3PuOs2
_symmetry_space_group_name_H-M 'I b a m'
_symmetry_Int_Tables_number 72
_symmetry_space_group_name_Hall '-I 2 2c'
_cell_length_a 6.804
_cell_length_b 13.373
_cell_length_c 7.050
_cell_angle_alpha 90.00
_cell_angle_beta 90.00
_cell_angle_gamma 90.00
loop_
_atom_site_label
_atom_site_fract_x
_atom_site_fract_y
_atom_site_fract_z
Ce1 0.000 0.000 0.250
Ce2 0.000 0.269 0.250
Pu1 0.000 0.500 0.000
Os1 0.213 0.134 0.000

Record 2
# PtW3C GGA-PBE relaxed
# Formation energy (eV per atom): 0.06
# Distance to the lowest polymorph of the same formula (kJ/mol of formula units): 0.0
data_PtW3C
_symmetry_space_group_name_H-M 'P m -3 m'
_symmetry_Int_Tables_number 221
_symmetry_space_group_name_Hall '-P 4 2 3'
_cell_length_a 4.144
_cell_length_b 4.144
_cell_length_c 4.144
_cell_angle_alpha 90.00
_cell_angle_beta 90.00
_cell_angle_gamma 90.00
loop_
_atom_site_label
_atom_site_fract_x
_atom_site_fract_y
_atom_site_fract_z
Pt1 0.000 0.000 0.000
W1 0.000 0.500 0.500
C1 0.500 0.500 0.500

Record 3
# MgCuRhPb GGA-PBE relaxed
# Formation energy (eV per atom): -0.08
data_MgCuRhPb
_symmetry_space_group_name_H-M 'F -4 3 m'
_symmetry_Int_Tables_number 216
_symmetry_space_group_name_Hall 'F -4 2 3'
_cell_length_a 6.521
_cell_length_b 6.521
_cell_length_c 6.521
_cell_angle_alpha 90.00
_cell_angle_beta 90.00
_cell_angle_gamma 90.00
loop_
_atom_site_label
_atom_site_fract_x
_atom_site_fract_y
_atom_site_fract_z
Mg1 0.000 0.000 0.000
Cu1 0.250 0.250 0.750
Rh1 0.250 0.250 0.250
Pb1 0.000 0.000 0.500

Record 4
# ReTe2Mo GGA-PBE relaxed
# Distance to the lowest polymorph of the same formula (kJ/mol of formula units): 162.9
# ΔE_f (raw) (eV per atom): 0.6273
data_ReTe2Mo
_symmetry_space_group_name_H-M 'R -3 m'
_symmetry_Int_Tables_number 166
_symmetry_space_group_name_Hall '-R 3 2"'
_cell_length_a 3.2331
_cell_length_b 3.2331
_cell_length_c 25.0395
_cell_angle_alpha 90.00
_cell_angle_beta 90.00
_cell_angle_gamma 120.00
loop_
_atom_site_label
_atom_site_fract_x
_atom_site_fract_y
_atom_site_fract_z
Re1 0.0000 0.0000 0.0000
Te1 0.0000 0.0000 0.2504
Mo1 0.0000 0.0000 0.5000

Q: Which raw total energy values were calculated for the entries above? A: -9.12 -10.77 -4.26 -6.76, in eV per atom.